A geometry-optimized NiBi3 structure, computed with PBE.

Values from the calculation:
- Raw total energy: -4.31 eV per atom
- Magnetization: 0.0 μB/f.u.
- Space-group type: No. 182
- N(E_F): 5.85 states/eV/cell
- Energy relative to the lowest polymorph listed for this composition: 1.74 kcal/mol of atoms
- ΔH_f (0 K): 49 meV/atom

Unit cell a=6.6983 b=6.6983 c=5.4787 alpha=90.00 beta=90.00 gamma=120.00
Last column: nearest neighbours and their distance in Å.
Sites, in units of the cell vectors:
Ni  0.3333  0.6667  0.2500  6 Bi 2.65
Ni  0.6667  0.3333  0.7500  6 Bi 2.65
Bi  0.0000  0.3216  0.0000  2 Ni 2.65
Bi  0.0000  0.6784  0.5000  2 Ni 2.65
Bi  0.3216  0.0000  0.0000  2 Ni 2.65
Bi  0.3216  0.3216  0.5000  2 Ni 2.65
Bi  0.6784  0.0000  0.5000  2 Ni 2.65
Bi  0.6784  0.6784  0.0000  2 Ni 2.65